# 1
DFT (GGA-PBE) results for a relaxed BaLi2AlAg crystal.

Its offset from the most stable computed form is 0 meV/atom. The value obtained for the total energy is -2.533 eV/atom. The density of states at the Fermi level comes out at 2.8 states/eV/cell.

a b c (Å): 5.177 5.177 4.982
angles (deg): 90.00 90.00 90.00
Element x y z (fractional)
1 Ba 0.000 0.000 0.000
2 Li 0.000 0.500 0.500
3 Li 0.500 0.000 0.500
4 Al 0.500 0.500 0.000
5 Ag 0.500 0.500 0.500



# 2
DFT (GGA-PBE) results for a relaxed BiTe2As2 crystal.

Its offset from the most stable computed form is 70 meV/atom. The value obtained for the total energy is -3.657 eV/atom. The uncorrected formation energy is 1.178 eV/f.u. The density of states at the Fermi level comes out at 3.4 states/eV/cell.

a b c (Å): 5.927 5.927 5.927
angles (deg): 122.98 122.98 84.91
Element x y z (fractional)
1 Bi 0.000 0.000 0.000
2 Te 0.250 0.750 0.500
3 Te 0.750 0.250 0.500
4 As 0.344 0.344 0.000
5 As 0.656 0.656 0.000



# 3
DFT (GGA-PBE) results for a relaxed LiLaFe2Hg crystal.

The value obtained for the total energy is -4.228 eV/atom. The density of states at the Fermi level comes out at 6.8 states/eV/cell.

a b c (Å): 4.995 4.995 4.613
angles (deg): 90.00 90.00 90.00
Element x y z (fractional)
1 Li 0.000 0.000 0.000
2 La 0.500 0.500 0.000
3 Fe 0.000 0.500 0.500
4 Fe 0.500 0.000 0.500
5 Hg 0.000 0.000 0.500



# 4
DFT (GGA-PBE) results for a relaxed Ca2EuMg crystal.

Its offset from the most stable computed form is 24 meV/atom. The value obtained for the total energy is -3.945 eV/atom. The density of states at the Fermi level comes out at 3.8 states/eV/cell.

a b c (Å): 5.874 5.874 5.874
angles (deg): 60.00 60.00 60.00
Element x y z (fractional)
1 Ca 0.250 0.250 0.250
2 Ca 0.750 0.750 0.750
3 Eu 0.000 0.000 0.000
4 Mg 0.500 0.500 0.500



# 5
DFT (GGA-PBE) results for a relaxed MnHgBr2 crystal.

Its offset from the most stable computed form is 243 meV/atom. The value obtained for the total energy is -3.528 eV/atom. The uncorrected formation energy is -1.296 eV/f.u.

a b c (Å): 8.949 8.949 8.949
angles (deg): 25.04 25.04 25.04
Element x y z (fractional)
1 Mn 0.000 0.000 0.000
2 Hg 0.738 0.738 0.738
3 Br 0.277 0.277 0.277
4 Br 0.476 0.476 0.476



# 6
DFT (GGA-PBE) results for a relaxed Li2InCl crystal.

Its offset from the most stable computed form is 59 meV/atom. The value obtained for the total energy is -2.948 eV/atom. The uncorrected formation energy is -3.379 eV/f.u. The density of states at the Fermi level comes out at 1.3 states/eV/cell.

a b c (Å): 8.279 8.279 8.279
angles (deg): 157.74 157.26 32.03
Element x y z (fractional)
1 Li 0.000 0.000 0.000
2 Li 0.690 0.190 0.500
3 In 0.363 0.363 0.000
4 Cl 0.119 0.619 0.500